1.
Material: YTcSbBr2
Method: DFT, PBE
State: relaxed

POSCAR file:
```
YTcSbBr2
1.0
5.290 0.000 0.000
0.000 6.234 0.000
0.000 0.000 5.290
Y Sb Br Tc
1 1 2 1
Cartesian
0.000 0.000 0.000 Y
2.645 3.117 2.645 Sb
2.645 0.000 0.000 Br
0.000 0.000 2.645 Br
0.000 3.117 0.000 Tc
```

Results
Raw formation energy, eV per atom: 0.397
Distance to the lowest polymorph of the same formula, meV per atom: 224
Space-group type: P4/mmm, No. 123
M_tot, μB per cell: 4.1

---

2.
Material: YTcSbBr2
Method: DFT, PBE
State: relaxed

POSCAR file:
```
YTcSbBr2
1.0
5.342 0.000 0.000
0.000 6.307 0.000
0.000 0.000 5.342
Br Tc Sb Y
2 1 1 1
Cartesian
0.000 0.000 2.671 Br
2.671 0.000 0.000 Br
2.671 3.154 2.671 Tc
0.000 3.154 0.000 Sb
0.000 0.000 0.000 Y
```

Results
Raw formation energy, eV per atom: 0.173
Distance to the lowest polymorph of the same formula, meV per atom: 0
Space-group type: P4/mmm, No. 123
M_tot, μB per cell: 4.9

---

3.
Material: Sb2TeBr
Method: DFT, PBE
State: relaxed

POSCAR file:
```
Sb2TeBr
1.0
3.947 0.000 0.000
0.000 3.947 0.000
0.000 0.000 7.644
Sb Br Te
2 1 1
Cartesian
0.000 0.000 3.447 Sb
0.000 0.000 0.374 Sb
1.974 1.974 5.733 Br
1.974 1.974 1.911 Te
```

Results
Raw formation energy, eV per atom: 0.078
Distance to the lowest polymorph of the same formula, meV per atom: 174
Space-group type: P4/mmm, No. 123
M_tot, μB per cell: 0.0

---

4.
Material: Sb2TeBr
Method: DFT, PBE
State: relaxed

POSCAR file:
```
Sb2TeBr
1.0
5.360 0.000 0.000
2.680 4.642 0.000
2.680 1.547 4.377
Br Sb Te
1 2 1
Cartesian
5.360 3.095 2.188 Br
2.680 1.547 1.094 Sb
0.000 0.000 0.000 Sb
8.040 4.642 3.282 Te
```

Results
Raw formation energy, eV per atom: 0.204
Distance to the lowest polymorph of the same formula, meV per atom: 300
Space-group type: F-43m, No. 216
M_tot, μB per cell: 0.0

---

5.
Material: Sb2TeBr
Method: DFT, PBE
State: relaxed

POSCAR file:
```
Sb2TeBr
1.0
3.970 0.000 0.000
0.000 5.251 0.000
0.000 0.000 5.251
Sb Br Te
2 1 1
Cartesian
0.000 2.625 2.625 Sb
0.000 0.000 0.000 Sb
1.985 0.000 2.625 Br
1.985 2.625 0.000 Te
```

Results
Raw formation energy, eV per atom: 0.230
Distance to the lowest polymorph of the same formula, meV per atom: 326
Space-group type: P4/mmm, No. 123
M_tot, μB per cell: 0.0

---

6.
Material: SbTe3Br
Method: DFT, PBE
State: relaxed

POSCAR file:
```
SbTe3Br
1.0
-5.044 0.590 2.668
-2.724 -1.525 -4.813
0.214 -5.499 1.621
Sb Te Br
1 3 1
Cartesian
0.000 0.000 0.000 Sb
-2.522 0.295 1.334 Te
-1.362 -0.762 -2.407 Te
0.107 -2.750 0.810 Te
-3.777 -3.217 -0.262 Br
```

Results
Raw formation energy, eV per atom: 0.541
Distance to the lowest polymorph of the same formula, meV per atom: 668
Space-group type: Pm-3m, No. 221
M_tot, μB per cell: 0.0

---

7.
Material: Sb2TeBr
Method: DFT, PBE
State: relaxed

POSCAR file:
```
Sb2TeBr
1.0
-2.451 0.594 -2.308
0.103 -3.281 -0.954
-7.059 -2.235 6.923
Br Te Sb
1 1 2
Cartesian
-6.844 -3.139 3.930 Br
-3.278 -1.038 3.214 Te
-2.801 -1.859 -0.035 Sb
-0.014 -0.004 0.014 Sb
```

Results
Raw formation energy, eV per atom: 0.202
Distance to the lowest polymorph of the same formula, meV per atom: 298
Space-group type: P4mm, No. 99
M_tot, μB per cell: 0.0

---

8.
Material: Sb2TeBr
Method: DFT, PBE
State: relaxed

POSCAR file:
```
Sb2TeBr
1.0
9.425 0.008 0.005
8.627 3.796 0.005
8.627 1.818 3.332
Sb Br Te
2 1 1
Cartesian
26.541 5.592 3.324 Sb
13.479 2.840 1.688 Sb
20.010 4.216 2.506 Br
6.670 1.405 0.835 Te
```

Results
Raw formation energy, eV per atom: 0.062
Distance to the lowest polymorph of the same formula, meV per atom: 158
Space-group type: R-3m, No. 166
M_tot, μB per cell: 0.0

---

- Number 6 is which compound?
  SbTe3Br

---

- Among the records above, which one has the highest raw formation energy?
  SbTe3Br

---

- Which value of raw formation energy does entry 5 give?
  0.230 eV per atom